Here is a relaxed structure of YZnMoO6 from Alexandria. Energies are from PBE+U.

The value obtained for the theoretical density is 5.004 g/cm³. The total magnetic moment is 1.03 μB/f.u. Its total energy is -0.24690 hartree per atom.

Cell: 5.4752 5.4752 4.4254 Å, 90.00 90.00 120.00°
Space group P312 (No. 149)
One atom of each set of equivalent atoms:
1 Y 0.0000 0.0000 0.0000 x1
2 Zn 0.6667 0.3333 0.5000 x1
3 Mo 0.3333 0.6667 0.0000 x1
4 O 0.0269 0.3764 0.2405 x6